Here is Ac4CoH after structural relaxation from Alexandria. Energies are from PBE.

Uncorrected energy ... -27.5 eV/cell
V ... 195 Å³ per cell
Fermi-level density of states ... 5.61 states/eV/cell

Cell lengths 4.1511, 6.7231, 6.9754 Å; angles 90.18, 90.00, 90.00 degrees
Atoms (fractional coordinates):
Ac1 0.0000 0.7465 0.3282
Ac2 0.0000 0.2535 0.6718
Ac3 0.5000 0.7704 0.8219
Ac4 0.5000 0.2296 0.1781
H1 0.5000 0.0000 0.5000
Co1 0.0000 0.0000 0.0000